[1]
The following is a DFT calculation (PBE) of an optimized crystal structure of Al2CrHg.

Lattice parameters (Å, degrees): 2.952 2.952 7.901 90.00 90.00 90.00
Fractional coordinates of all 4 atoms:
1 Al 0.000 0.000 0.194
2 Al 0.000 0.000 0.806
3 Cr 0.500 0.500 0.000
4 Hg 0.500 0.500 0.500

Electronic total energy   -4.26 eV per atom
ΔE_f   0.36 eV/f.u.

[2]
The following is a DFT calculation (PBE) of an optimized crystal structure of LiSi2Sb.

Lattice parameters (Å, degrees): 3.068 5.344 4.603 90.00 93.42 90.00
Fractional coordinates of all 4 atoms:
1 Li 0.000 0.000 0.000
2 Si 0.320 0.500 0.232
3 Si 0.680 0.500 0.768
4 Sb 0.500 0.000 0.500

Energy relative to the elements, uncorrected   201 meV per atom
Electronic total energy   -4.02 eV per atom

[3]
The following is a DFT calculation (PBE) of an optimized crystal structure of Nd3P4Rh2.

Lattice parameters (Å, degrees): 6.281 6.281 8.571 116.28 116.28 37.97
Fractional coordinates of all 9 atoms:
1 Nd 0.000 0.000 0.000
2 Nd 0.369 0.369 0.277
3 Nd 0.631 0.631 0.723
4 P 0.094 0.094 0.396
5 P 0.311 0.311 0.898
6 P 0.689 0.689 0.102
7 P 0.906 0.906 0.604
8 Rh 0.316 0.316 0.623
9 Rh 0.684 0.684 0.377

Electronic total energy   -6.78 eV per atom
ΔE_f   -10.35 eV/f.u.

[4]
The following is a DFT calculation (PBE) of an optimized crystal structure of ErNiGe.

Lattice parameters (Å, degrees): 4.885 4.885 4.885 135.28 135.28 65.10
Fractional coordinates of all 3 atoms:
1 Er 0.000 0.000 0.000
2 Ni 0.358 0.358 0.000
3 Ge 0.666 0.666 0.000

Electronic total energy   -5.26 eV per atom
ΔE_f   -0.83 eV/f.u.

[5]
The following is a DFT calculation (PBE) of an optimized crystal structure of KCoB2Se.

Lattice parameters (Å, degrees): 4.279 4.279 5.794 90.00 90.00 90.00
Fractional coordinates of all 5 atoms:
1 K 0.000 0.000 0.000
2 Co 0.500 0.500 0.000
3 B 0.000 0.500 0.500
4 B 0.500 0.000 0.500
5 Se 0.000 0.000 0.500

Energy relative to the elements, uncorrected   1989 meV per atom
Electronic total energy   -3.02 eV per atom

[6]
The following is a DFT calculation (PBE) of an optimized crystal structure of BiHRh2Pb.

Lattice parameters (Å, degrees): 4.412 4.412 4.384 90.00 90.00 90.00
Fractional coordinates of all 5 atoms:
1 Bi 0.000 0.000 0.000
2 H 0.500 0.500 0.500
3 Rh 0.000 0.500 0.500
4 Rh 0.500 0.000 0.500
5 Pb 0.500 0.500 0.000

Electronic total energy   -4.76 eV per atom

[7]
The following is a DFT calculation (PBE) of an optimized crystal structure of AlTl2ZnAu6.

Lattice parameters (Å, degrees): 6.610 6.705 6.883 62.97 61.62 60.75
Fractional coordinates of all 10 atoms:
1 Al 0.000 0.000 0.000
2 Tl 0.192 0.198 0.417
3 Tl 0.808 0.802 0.583
4 Zn 0.500 0.500 0.500
5 Au 0.156 0.341 0.843
6 Au 0.343 0.649 0.854
7 Au 0.343 0.848 0.158
8 Au 0.657 0.152 0.842
9 Au 0.657 0.351 0.146
10 Au 0.844 0.659 0.157

Electronic total energy   -3.04 eV per atom
ΔE_f   -0.94 eV/f.u.

[8]
The following is a DFT calculation (PBE) of an optimized crystal structure of CaSc2Fe.

Lattice parameters (Å, degrees): 4.863 4.863 4.863 60.00 60.00 60.00
Fractional coordinates of all 4 atoms:
1 Ca 0.000 0.000 0.000
2 Sc 0.250 0.250 0.250
3 Sc 0.750 0.750 0.750
4 Fe 0.500 0.500 0.500

Electronic total energy   -5.40 eV per atom
Offset from the most stable computed form   386 meV/atom
ΔE_f   1.54 eV/f.u.

[9]
The following is a DFT calculation (PBE) of an optimized crystal structure of Nb6V5Mo.

Lattice parameters (Å, degrees): 7.101 7.101 6.362 90.00 90.00 142.84
Fractional coordinates of all 12 atoms:
1 Nb 0.000 0.000 0.249
2 Nb 0.000 0.000 0.751
3 Nb 0.333 0.667 0.249
4 Nb 0.333 0.667 0.751
5 Nb 0.667 0.333 0.249
6 Nb 0.667 0.333 0.751
7 V 0.167 0.833 0.000
8 V 0.171 0.829 0.500
9 V 0.500 0.500 0.000
10 V 0.829 0.171 0.500
11 V 0.833 0.167 0.000
12 Mo 0.500 0.500 0.500

Electronic total energy   -9.73 eV per atom
ΔE_f   0.12 eV/f.u.

[10]
The following is a DFT calculation (PBE) of an optimized crystal structure of Na2HgSbI6.

Lattice parameters (Å, degrees): 8.016 8.023 8.671 62.56 62.61 60.06
Fractional coordinates of all 10 atoms:
1 Na 0.000 0.000 0.000
2 Na 0.491 0.491 0.526
3 Hg 0.187 0.186 0.440
4 Sb 0.681 0.681 0.957
5 I 0.057 0.791 0.722
6 I 0.300 0.585 0.211
7 I 0.430 0.056 0.721
8 I 0.586 0.904 0.211
9 I 0.791 0.429 0.723
10 I 0.905 0.301 0.211

Energy relative to the elements, uncorrected   -619 meV per atom
Electronic total energy   -2.25 eV per atom

[11]
The following is a DFT calculation (PBE) of an optimized crystal structure of Np2AlGePt6.

Lattice parameters (Å, degrees): 5.563 5.563 8.448 109.27 109.27 59.96
Fractional coordinates of all 10 atoms:
1 Np 0.200 0.200 0.100
2 Np 0.800 0.800 0.900
3 Al 0.500 0.500 0.000
4 Ge 0.000 0.000 0.500
5 Pt 0.250 0.250 0.752
6 Pt 0.250 0.750 0.248
7 Pt 0.250 0.750 0.752
8 Pt 0.750 0.250 0.248
9 Pt 0.750 0.250 0.752
10 Pt 0.750 0.750 0.248

Electronic total energy   -7.57 eV per atom
ΔE_f   -5.24 eV/f.u.

[12]
The following is a DFT calculation (PBE) of an optimized crystal structure of Gd3Y.

Lattice parameters (Å, degrees): 6.203 6.203 6.203 131.87 131.87 70.43
Fractional coordinates of all 4 atoms:
1 Gd 0.000 0.000 0.000
2 Gd 0.250 0.750 0.500
3 Gd 0.750 0.250 0.500
4 Y 0.500 0.500 0.000

Electronic total energy   -12.16 eV per atom
Offset from the most stable computed form   19 meV/atom
ΔE_f   0.07 eV/f.u.

[13]
The following is a DFT calculation (PBE) of an optimized crystal structure of Ti5H4Pd.

Lattice parameters (Å, degrees): 6.034 6.034 6.307 105.05 105.05 29.02
Fractional coordinates of all 10 atoms:
1 Ti 0.000 0.000 0.000
2 Ti 0.325 0.325 0.170
3 Ti 0.344 0.344 0.665
4 Ti 0.656 0.656 0.335
5 Ti 0.675 0.675 0.830
6 H 0.172 0.172 0.589
7 H 0.491 0.491 0.171
8 H 0.509 0.509 0.829
9 H 0.828 0.828 0.411
10 Pd 0.000 0.000 0.500

Electronic total energy   -6.15 eV per atom

[14]
The following is a DFT calculation (PBE) of an optimized crystal structure of Ti2VOs.

Lattice parameters (Å, degrees): 5.692 5.692 5.692 151.28 133.58 55.51
Fractional coordinates of all 4 atoms:
1 Ti 0.244 0.244 0.000
2 Ti 0.756 0.756 0.000
3 V 0.500 0.500 0.000
4 Os 0.000 0.000 0.000

Electronic total energy   -8.66 eV per atom
ΔE_f   1.48 eV/f.u.

[15]
The following is a DFT calculation (PBE) of an optimized crystal structure of MgCd2Cu.

Lattice parameters (Å, degrees): 6.274 6.274 6.274 100.84 100.84 128.60
Fractional coordinates of all 8 atoms:
1 Mg 0.000 0.000 0.000
2 Mg 0.750 0.250 0.500
3 Cd 0.179 0.625 0.054
4 Cd 0.375 0.429 0.554
5 Cd 0.571 0.125 0.946
6 Cd 0.875 0.821 0.446
7 Cu 0.250 0.750 0.500
8 Cu 0.500 0.500 0.000

Electronic total energy   -1.73 eV per atom
ΔE_f   0.60 eV/f.u.

[16]
The following is a DFT calculation (PBE) of an optimized crystal structure of KCd3Ag.

Lattice parameters (Å, degrees): 6.450 6.450 6.450 90.00 90.00 90.00
Fractional coordinates of all 5 atoms:
1 K 0.000 0.000 0.000
2 Cd 0.000 0.000 0.500
3 Cd 0.000 0.500 0.000
4 Cd 0.500 0.000 0.000
5 Ag 0.500 0.500 0.500

Electronic total energy   -0.62 eV per atom
Offset from the most stable computed form   786 meV/atom
ΔE_f   3.59 eV/f.u.

[17]
The following is a DFT calculation (PBE) of an optimized crystal structure of BiP2RhO.

Lattice parameters (Å, degrees): 4.938 4.938 3.742 90.00 90.00 90.00
Fractional coordinates of all 5 atoms:
1 Bi 0.000 0.000 0.000
2 P 0.000 0.500 0.500
3 P 0.500 0.000 0.500
4 Rh 0.500 0.500 0.500
5 O 0.500 0.500 0.000

Energy relative to the elements, uncorrected   115 meV per atom
Electronic total energy   -5.29 eV per atom
Offset from the most stable computed form   0 meV/atom

[18]
The following is a DFT calculation (PBE) of an optimized crystal structure of TiMn2Ru2.

Lattice parameters (Å, degrees): 7.064 7.064 2.695 90.00 90.00 90.00
Fractional coordinates of all 10 atoms:
1 Ti 0.000 0.000 0.000
2 Ti 0.500 0.500 0.000
3 Mn 0.119 0.381 0.000
4 Mn 0.381 0.881 0.000
5 Mn 0.619 0.119 0.000
6 Mn 0.881 0.619 0.000
7 Ru 0.175 0.675 0.500
8 Ru 0.325 0.175 0.500
9 Ru 0.675 0.825 0.500
10 Ru 0.825 0.325 0.500

Electronic total energy   -8.97 eV per atom
ΔE_f   -0.07 eV/f.u.

[19]
The following is a DFT calculation (PBE) of an optimized crystal structure of CaMoP.

Lattice parameters (Å, degrees): 4.099 4.099 4.281 90.00 90.00 120.00
Fractional coordinates of all 3 atoms:
1 Ca 0.000 0.000 0.000
2 Mo 0.333 0.667 0.500
3 P 0.667 0.333 0.500

Electronic total energy   -6.38 eV per atom
Offset from the most stable computed form   301 meV/atom
ΔE_f   -0.89 eV/f.u.

[20]
The following is a DFT calculation (PBE) of an optimized crystal structure of PaMnSn.

Lattice parameters (Å, degrees): 4.558 4.558 4.558 60.00 60.00 60.00
Fractional coordinates of all 3 atoms:
1 Pa 0.000 0.000 0.000
2 Mn 0.250 0.250 0.250
3 Sn 0.500 0.500 0.500

Electronic total energy   -7.63 eV per atom
ΔE_f   -0.23 eV/f.u.

[21]
The following is a DFT calculation (PBE) of an optimized crystal structure of Ac2SeCl4.

Lattice parameters (Å, degrees): 9.453 9.453 4.402 90.00 90.00 90.00
Fractional coordinates of all 14 atoms:
1 Ac 0.178 0.178 0.000
2 Ac 0.322 0.678 0.500
3 Ac 0.678 0.322 0.500
4 Ac 0.822 0.822 0.000
5 Se 0.000 0.000 0.500
6 Se 0.500 0.500 0.000
7 Cl 0.104 0.660 0.000
8 Cl 0.160 0.396 0.500
9 Cl 0.340 0.896 0.000
10 Cl 0.396 0.160 0.500
11 Cl 0.604 0.840 0.500
12 Cl 0.660 0.104 0.000
13 Cl 0.840 0.604 0.500
14 Cl 0.896 0.340 0.000

Energy relative to the elements, uncorrected   -2268 meV per atom
Electronic total energy   -4.99 eV per atom

[22]
The following is a DFT calculation (PBE) of an optimized crystal structure of LaPr4Zn.

Lattice parameters (Å, degrees): 3.728 3.728 14.212 90.00 90.00 90.00
Fractional coordinates of all 6 atoms:
1 La 0.000 0.000 0.000
2 Pr 0.000 0.000 0.372
3 Pr 0.000 0.000 0.628
4 Pr 0.500 0.500 0.185
5 Pr 0.500 0.500 0.815
6 Zn 0.500 0.500 0.500

Electronic total energy   -4.32 eV per atom
Offset from the most stable computed form   0 meV/atom
ΔE_f   -0.58 eV/f.u.

[23]
The following is a DFT calculation (PBE) of an optimized crystal structure of Pm2SmAl6.

Lattice parameters (Å, degrees): 8.044 8.044 8.044 147.78 126.14 64.16
Fractional coordinates of all 9 atoms:
1 Pm 0.125 0.125 0.000
2 Pm 0.875 0.875 0.000
3 Sm 0.500 0.000 0.500
4 Al 0.126 0.317 0.809
5 Al 0.188 0.500 0.688
6 Al 0.491 0.683 0.809
7 Al 0.509 0.317 0.191
8 Al 0.812 0.500 0.312
9 Al 0.874 0.683 0.191

Electronic total energy   -4.30 eV per atom
Offset from the most stable computed form   263 meV/atom
ΔE_f   -2.01 eV/f.u.

[24]
The following is a DFT calculation (PBE) of an optimized crystal structure of BC3.

Lattice parameters (Å, degrees): 2.542 7.701 3.808 90.00 90.00 90.00
Fractional coordinates of all 12 atoms:
1 B 0.000 0.000 0.000
2 B 0.500 0.338 0.760
3 B 0.500 0.662 0.760
4 C 0.000 0.173 0.262
5 C 0.000 0.332 0.031
6 C 0.000 0.500 0.263
7 C 0.000 0.668 0.031
8 C 0.000 0.827 0.262
9 C 0.500 0.000 0.726
10 C 0.500 0.161 0.489
11 C 0.500 0.500 0.490
12 C 0.500 0.839 0.489

Electronic total energy   -8.29 eV per atom
Offset from the most stable computed form   53 meV/atom
ΔE_f   1.17 eV/f.u.

[25]
The following is a DFT calculation (PBE) of an optimized crystal structure of U4Bi7Au6.

Lattice parameters (Å, degrees): 8.288 8.288 8.288 109.47 109.47 109.47
Fractional coordinates of all 17 atoms:
1 U 0.000 0.000 0.500
2 U 0.000 0.500 0.000
3 U 0.500 0.000 0.000
4 U 0.500 0.500 0.500
5 Bi 0.000 0.000 0.000
6 Bi 0.250 0.500 0.750
7 Bi 0.250 0.750 0.500
8 Bi 0.500 0.250 0.750
9 Bi 0.500 0.750 0.250
10 Bi 0.750 0.250 0.500
11 Bi 0.750 0.500 0.250
12 Au 0.000 0.299 0.299
13 Au 0.000 0.701 0.701
14 Au 0.299 0.000 0.299
15 Au 0.299 0.299 0.000
16 Au 0.701 0.000 0.701
17 Au 0.701 0.701 0.000

Electronic total energy   -5.41 eV per atom
ΔE_f   0.09 eV/f.u.